A relaxed La4CN crystal, computed with PBE-GGA.

Cell lengths 6.394, 3.713, 7.077 Å; angles 90.00, 104.72, 90.00 degrees
Fractional coordinates of all 6 atoms:
La: 0.221 0.000 0.207
La: 0.270 0.500 0.790
La: 0.730 0.500 0.210
La: 0.779 0.000 0.793
C: 0.500 0.000 0.000
N: 0.000 0.500 0.000

Symmetry: P2/m (10)
Raw total energy (eV/cell): -40.372
Raw formation energy (eV per atom): -0.519
Crystal system: monoclinic

=====

A relaxed LaC3N6 crystal, computed with PBE-GGA.

Cell lengths 6.857, 6.857, 6.857 Å; angles 116.28, 116.28, 116.28 degrees
Fractional coordinates of all 10 atoms:
La: 0.000 0.000 0.000
C: 0.295 0.295 0.740
C: 0.295 0.740 0.295
C: 0.740 0.295 0.295
N: 0.174 0.174 0.796
N: 0.174 0.796 0.174
N: 0.409 0.409 0.672
N: 0.409 0.672 0.409
N: 0.672 0.409 0.409
N: 0.796 0.174 0.174

Symmetry: R3m (160)
Raw total energy (eV/cell): -81.606
Raw formation energy (eV per atom): 0.095
Crystal system: trigonal

=====

A relaxed La5C4N crystal, computed with PBE-GGA.

Cell lengths 6.850, 6.850, 6.850 Å; angles 97.21, 97.21, 138.50 degrees
Fractional coordinates of all 10 atoms:
La: 0.000 0.000 0.000
La: 0.204 0.404 0.608
La: 0.404 0.796 0.199
La: 0.596 0.204 0.801
La: 0.796 0.596 0.392
C: 0.101 0.700 0.800
C: 0.300 0.101 0.401
C: 0.700 0.899 0.599
C: 0.899 0.300 0.200
N: 0.500 0.500 0.000

Symmetry: I4/m (87)
Raw total energy (eV/cell): -69.831
Raw formation energy (eV per atom): 0.003
Crystal system: tetragonal

=====

A relaxed LaC2N crystal, computed with PBE-GGA.

Cell lengths 8.485, 8.485, 8.485 Å; angles 156.06, 156.06, 34.11 degrees
Fractional coordinates of all 8 atoms:
La: 0.375 0.625 0.750
La: 0.625 0.375 0.250
C: 0.000 0.000 0.000
C: 0.000 0.000 0.500
C: 0.000 0.500 0.000
C: 0.500 0.000 0.500
N: 0.125 0.875 0.250
N: 0.875 0.125 0.750

Symmetry: I4_1/amd (141)
Raw total energy (eV/cell): -54.157
Raw formation energy (eV per atom): 1.156
Crystal system: tetragonal

=====

A relaxed La5CN6 crystal, computed with PBE-GGA.

Cell lengths 6.386, 6.386, 6.383 Å; angles 99.93, 99.93, 119.43 degrees
Fractional coordinates of all 12 atoms:
La: 0.000 0.000 0.000
La: 0.170 0.830 0.500
La: 0.338 0.662 0.000
La: 0.662 0.338 0.000
La: 0.830 0.170 0.500
C: 0.500 0.500 0.500
N: 0.050 0.414 0.237
N: 0.225 0.225 0.767
N: 0.414 0.050 0.237
N: 0.586 0.950 0.763
N: 0.775 0.775 0.233
N: 0.950 0.586 0.763

Symmetry: C2/m (12)
Raw total energy (eV/cell): -88.299
Raw formation energy (eV per atom): -0.374
Crystal system: monoclinic

=====

A relaxed La2CN4 crystal, computed with PBE-GGA.

Cell lengths 5.613, 5.474, 6.405 Å; angles 90.00, 113.39, 90.00 degrees
Fractional coordinates of all 14 atoms:
La: 0.200 0.250 0.119
La: 0.207 0.750 0.529
La: 0.793 0.250 0.471
La: 0.800 0.750 0.881
C: 0.485 0.250 0.783
C: 0.515 0.750 0.217
N: 0.238 0.750 0.174
N: 0.305 0.250 0.535
N: 0.415 0.020 0.880
N: 0.415 0.480 0.880
N: 0.585 0.520 0.120
N: 0.585 0.980 0.120
N: 0.695 0.750 0.465
N: 0.762 0.250 0.826

Symmetry: P2_1/m (11)
Raw total energy (eV/cell): -112.757
Raw formation energy (eV per atom): -0.571
Crystal system: monoclinic

=====

A relaxed La5CN2 crystal, computed with PBE-GGA.

Cell lengths 6.825, 6.825, 12.115 Å; angles 90.00, 90.00, 135.06 degrees
Fractional coordinates of all 16 atoms:
La: 0.060 0.940 0.617
La: 0.060 0.940 0.883
La: 0.247 0.753 0.250
La: 0.334 0.666 0.565
La: 0.334 0.666 0.935
La: 0.666 0.334 0.065
La: 0.666 0.334 0.435
La: 0.753 0.247 0.750
La: 0.940 0.060 0.117
La: 0.940 0.060 0.383
C: 0.213 0.787 0.750
C: 0.787 0.213 0.250
N: 0.164 0.836 0.050
N: 0.164 0.836 0.450
N: 0.836 0.164 0.550
N: 0.836 0.164 0.950

Symmetry: Cmcm (63)
Raw total energy (eV/cell): -110.653
Raw formation energy (eV per atom): -0.602
Crystal system: orthorhombic

=====

A relaxed LaC6N9 crystal, computed with PBE-GGA.

Cell lengths 7.213, 7.213, 10.713 Å; angles 90.00, 90.00, 113.15 degrees
Fractional coordinates of all 32 atoms:
La: 0.218 0.782 0.750
La: 0.782 0.218 0.250
C: 0.058 0.227 0.750
C: 0.210 0.504 0.054
C: 0.210 0.504 0.446
C: 0.227 0.058 0.250
C: 0.496 0.790 0.054
C: 0.496 0.790 0.446
C: 0.504 0.210 0.554
C: 0.504 0.210 0.946
C: 0.773 0.942 0.750
C: 0.790 0.496 0.554
C: 0.790 0.496 0.946
C: 0.942 0.773 0.250
N: 0.031 0.969 0.250
N: 0.081 0.364 0.099
N: 0.081 0.364 0.401
N: 0.148 0.403 0.750
N: 0.344 0.656 0.504
N: 0.344 0.656 0.996
N: 0.364 0.081 0.599
N: 0.364 0.081 0.901
N: 0.403 0.148 0.250
N: 0.597 0.852 0.750
N: 0.636 0.919 0.099
N: 0.636 0.919 0.401
N: 0.656 0.344 0.004
N: 0.656 0.344 0.496
N: 0.852 0.597 0.250
N: 0.919 0.636 0.599
N: 0.919 0.636 0.901
N: 0.969 0.031 0.750

Symmetry: Cmcm (63)
Raw total energy (eV/cell): -270.882
Raw formation energy (eV per atom): -0.015
Crystal system: orthorhombic

=====

A relaxed La6CN3 crystal, computed with PBE-GGA.

Cell lengths 8.050, 8.050, 3.789 Å; angles 90.00, 90.00, 104.67 degrees
Fractional coordinates of all 10 atoms:
La: 0.140 0.860 0.000
La: 0.192 0.456 0.500
La: 0.456 0.192 0.500
La: 0.544 0.808 0.500
La: 0.808 0.544 0.500
La: 0.860 0.140 0.000
C: 0.000 0.000 0.500
N: 0.000 0.500 0.000
N: 0.500 0.000 0.000
N: 0.500 0.500 0.500

Symmetry: Cmmm (65)
Raw total energy (eV/cell): -69.173
Raw formation energy (eV per atom): -0.541
Crystal system: orthorhombic

=====

A relaxed La6CN2 crystal, computed with PBE-GGA.

Cell lengths 9.035, 9.035, 7.835 Å; angles 109.64, 109.64, 23.72 degrees
Fractional coordinates of all 9 atoms:
La: 0.015 0.015 0.239
La: 0.320 0.320 0.433
La: 0.344 0.344 0.898
La: 0.656 0.656 0.102
La: 0.680 0.680 0.567
La: 0.985 0.985 0.761
C: 0.500 0.500 0.000
N: 0.168 0.168 0.334
N: 0.832 0.832 0.666

Symmetry: C2/m (12)
Raw total energy (eV/cell): -61.197
Raw formation energy (eV per atom): -0.640
Crystal system: monoclinic

=====

A relaxed NaLaC3N6 crystal, computed with PBE-GGA.

Cell lengths 6.259, 6.259, 6.259 Å; angles 107.21, 107.21, 107.21 degrees
Fractional coordinates of all 11 atoms:
Na: 0.000 0.000 0.000
La: 0.500 0.500 0.500
C: 0.001 0.500 0.999
C: 0.500 0.999 0.001
C: 0.999 0.001 0.500
N: 0.148 0.151 0.466
N: 0.151 0.466 0.148
N: 0.466 0.148 0.151
N: 0.534 0.849 0.852
N: 0.849 0.852 0.534
N: 0.852 0.534 0.849

Symmetry: R32 (155)
Raw total energy (eV/cell): -85.764
Raw formation energy (eV per atom): -0.172
Crystal system: trigonal

=====

A relaxed NaLaCN2 crystal, computed with PBE-GGA.

Cell lengths 7.087, 4.314, 8.270 Å; angles 90.00, 117.06, 90.00 degrees
Fractional coordinates of all 10 atoms:
Na: 0.000 0.184 0.250
Na: 0.000 0.816 0.750
La: 0.500 0.381 0.750
La: 0.500 0.619 0.250
C: 0.500 0.000 0.000
C: 0.500 0.000 0.500
N: 0.386 0.191 0.382
N: 0.386 0.809 0.882
N: 0.614 0.191 0.118
N: 0.614 0.809 0.618

Symmetry: P2/c (13)
Raw total energy (eV/cell): -67.785
Raw formation energy (eV per atom): -0.354
Crystal system: monoclinic

=====

A relaxed La3NiC2N6 crystal, computed with PBE-GGA.

Cell lengths 5.377, 5.377, 6.443 Å; angles 90.00, 90.00, 120.00 degrees
Fractional coordinates of all 12 atoms:
La: 0.000 0.000 0.000
La: 0.333 0.667 0.665
La: 0.667 0.333 0.335
Ni: 0.000 0.000 0.500
C: 0.333 0.667 0.264
C: 0.667 0.333 0.736
N: 0.186 0.371 0.274
N: 0.186 0.814 0.274
N: 0.371 0.186 0.726
N: 0.629 0.814 0.274
N: 0.814 0.186 0.726
N: 0.814 0.629 0.726

Symmetry: P-3m1 (164)
Raw total energy (eV/cell): -96.285
Raw formation energy (eV per atom): -0.610
Crystal system: trigonal

=====

A relaxed La6CN3O2 crystal, computed with PBE-GGA.

Cell lengths 6.479, 6.479, 6.498 Å; angles 99.57, 99.57, 120.04 degrees
Fractional coordinates of all 12 atoms:
La: 0.085 0.417 0.755
La: 0.247 0.247 0.245
La: 0.417 0.085 0.755
La: 0.583 0.915 0.245
La: 0.753 0.753 0.755
La: 0.915 0.583 0.245
C: 0.000 0.000 0.500
N: 0.163 0.837 0.000
N: 0.500 0.500 0.000
N: 0.837 0.163 0.000
O: 0.332 0.668 0.500
O: 0.668 0.332 0.500

Symmetry: C2/m (12)
Raw total energy (eV/cell): -93.666
Raw formation energy (eV per atom): -1.665
Crystal system: monoclinic

=====

A relaxed La6CN2O3 crystal, computed with PBE-GGA.

Cell lengths 8.329, 8.329, 7.439 Å; angles 102.80, 102.80, 25.94 degrees
Fractional coordinates of all 12 atoms:
La: 0.001 0.001 0.249
La: 0.332 0.332 0.420
La: 0.334 0.334 0.914
La: 0.666 0.666 0.086
La: 0.668 0.668 0.580
La: 0.999 0.999 0.751
C: 0.500 0.500 0.000
N: 0.170 0.170 0.338
N: 0.830 0.830 0.662
O: 0.166 0.166 0.830
O: 0.500 0.500 0.500
O: 0.834 0.834 0.170

Symmetry: C2/m (12)
Raw total energy (eV/cell): -93.600
Raw formation energy (eV per atom): -1.940
Crystal system: monoclinic

=====

A relaxed La2C2N4O crystal, computed with PBE-GGA.

Cell lengths 7.475, 7.475, 6.149 Å; angles 103.30, 103.30, 49.65 degrees
Fractional coordinates of all 18 atoms:
La: 0.114 0.685 0.924
La: 0.315 0.886 0.576
La: 0.685 0.114 0.424
La: 0.886 0.315 0.076
C: 0.123 0.572 0.388
C: 0.428 0.877 0.112
C: 0.572 0.123 0.888
C: 0.877 0.428 0.612
N: 0.047 0.370 0.755
N: 0.291 0.525 0.532
N: 0.370 0.047 0.255
N: 0.475 0.709 0.968
N: 0.525 0.291 0.032
N: 0.630 0.953 0.745
N: 0.709 0.475 0.468
N: 0.953 0.630 0.245
O: 0.027 0.973 0.250
O: 0.973 0.027 0.750

Symmetry: C2/c (15)
Raw total energy (eV/cell): -156.515
Raw formation energy (eV per atom): -1.299
Crystal system: monoclinic

=====

A relaxed La2SiCN2O4 crystal, computed with PBE-GGA.

Cell lengths 6.556, 12.920, 6.721 Å; angles 90.00, 104.83, 90.00 degrees
Fractional coordinates of all 40 atoms:
La: 0.037 0.148 0.336
La: 0.037 0.352 0.836
La: 0.409 0.597 0.715
La: 0.409 0.903 0.215
La: 0.591 0.097 0.785
La: 0.591 0.403 0.285
La: 0.963 0.648 0.164
La: 0.963 0.852 0.664
Si: 0.097 0.098 0.817
Si: 0.097 0.402 0.317
Si: 0.903 0.598 0.683
Si: 0.903 0.902 0.183
C: 0.466 0.653 0.221
C: 0.466 0.847 0.721
C: 0.534 0.153 0.279
C: 0.534 0.347 0.779
N: 0.359 0.707 0.309
N: 0.359 0.793 0.809
N: 0.429 0.099 0.368
N: 0.429 0.401 0.868
N: 0.571 0.599 0.132
N: 0.571 0.901 0.632
N: 0.641 0.207 0.191
N: 0.641 0.293 0.691
O: 0.019 0.662 0.533
O: 0.019 0.838 0.033
O: 0.100 0.548 0.860
O: 0.100 0.952 0.360
O: 0.222 0.181 0.705
O: 0.222 0.319 0.205
O: 0.268 0.009 0.916
O: 0.268 0.491 0.416
O: 0.732 0.509 0.584
O: 0.732 0.991 0.084
O: 0.778 0.681 0.795
O: 0.778 0.819 0.295
O: 0.900 0.048 0.640
O: 0.900 0.452 0.140
O: 0.981 0.162 0.967
O: 0.981 0.338 0.467

Symmetry: P2_1/c (14)
Raw total energy (eV/cell): -339.048
Raw formation energy (eV per atom): -2.378
Crystal system: monoclinic

=====

A relaxed LaPaC2N6 crystal, computed with PBE-GGA.

Cell lengths 6.410, 6.410, 6.770 Å; angles 101.76, 101.76, 102.74 degrees
Fractional coordinates of all 20 atoms:
La: 0.162 0.838 0.750
La: 0.838 0.162 0.250
Pa: 0.405 0.595 0.250
Pa: 0.595 0.405 0.750
C: 0.116 0.358 0.739
C: 0.358 0.116 0.239
C: 0.642 0.884 0.761
C: 0.884 0.642 0.261
N: 0.078 0.595 0.320
N: 0.174 0.186 0.641
N: 0.186 0.174 0.141
N: 0.284 0.504 0.898
N: 0.405 0.922 0.180
N: 0.496 0.716 0.602
N: 0.504 0.284 0.398
N: 0.595 0.078 0.820
N: 0.716 0.496 0.102
N: 0.814 0.826 0.859
N: 0.826 0.814 0.359
N: 0.922 0.405 0.680

Symmetry: C2/c (15)
Raw total energy (eV/cell): -176.613
Raw formation energy (eV per atom): -0.548
Crystal system: monoclinic